Crystalline Pm2SmDy4Sc at its relaxed geometry. Source: Alexandria via LeMat-Bulk, functional PBE-GGA.

POSCAR file:
```
Pm2SmDy4Sc
1.0
5.016 0.000 0.000
0.000 5.016 0.000
0.000 0.000 10.021
Pm Sm Dy Sc
2 1 4 1
direct
0.000 0.000 0.000 Pm
0.500 0.500 0.500 Pm
0.000 0.000 0.500 Sm
0.000 0.500 0.244 Dy
0.000 0.500 0.756 Dy
0.500 0.000 0.244 Dy
0.500 0.000 0.756 Dy
0.500 0.500 0.000 Sc
```

crystal system = tetragonal
space group = P4/mmm
volume = 31.512 Å³ per atom

Crystalline Pm2Sm4DySc at its relaxed geometry. Source: Alexandria via LeMat-Bulk, functional PBE-GGA.

POSCAR file:
```
Pm2Sm4DySc
1.0
5.062 0.000 0.000
0.000 5.073 0.000
-0.008 0.000 10.080
Pm Sm Dy Sc
2 4 1 1
direct
0.000 0.000 0.000 Pm
0.500 0.500 0.500 Pm
0.000 0.500 0.245 Sm
0.000 0.500 0.755 Sm
0.500 0.000 0.246 Sm
0.500 0.000 0.754 Sm
0.000 0.000 0.500 Dy
0.500 0.500 0.000 Sc
```

crystal system = monoclinic
space group = P2/m
volume = 32.356 Å³ per atom

Crystalline PmSmDy2Sc2 at its relaxed geometry. Source: Alexandria via LeMat-Bulk, functional PBE-GGA.

POSCAR file:
```
PmSmDy2Sc2
1.0
6.307 0.000 0.000
0.000 17.520 0.000
0.000 0.000 3.348
Pm Sm Dy Sc
2 2 4 4
direct
0.000 0.000 0.000 Pm
0.500 0.500 0.500 Pm
0.000 0.500 0.000 Sm
0.500 0.000 0.500 Sm
0.219 0.192 0.000 Dy
0.281 0.692 0.500 Dy
0.719 0.308 0.500 Dy
0.781 0.808 0.000 Dy
0.218 0.354 0.500 Sc
0.282 0.854 0.000 Sc
0.718 0.146 0.000 Sc
0.782 0.646 0.500 Sc
```

crystal system = orthorhombic
space group = Pnnm
volume = 30.834 Å³ per atom

Crystalline Pm6Sm2Dy3Sc at its relaxed geometry. Source: Alexandria via LeMat-Bulk, functional PBE-GGA.

POSCAR file:
```
Pm6Sm2Dy3Sc
1.0
3.113 -5.390 0.000
3.113 5.390 0.000
-2.072 0.000 11.657
Pm Sm Dy Sc
6 2 3 1
direct
0.083 0.413 0.749 Pm
0.247 0.247 0.250 Pm
0.413 0.083 0.749 Pm
0.587 0.917 0.251 Pm
0.753 0.753 0.750 Pm
0.917 0.587 0.251 Pm
0.333 0.667 0.500 Sm
0.667 0.333 0.500 Sm
0.166 0.834 0.000 Dy
0.500 0.500 0.000 Dy
0.834 0.166 0.000 Dy
0.000 0.000 0.500 Sc
```

crystal system = monoclinic
space group = C2/m
volume = 32.593 Å³ per atom

Crystalline PmSm5DySc2 at its relaxed geometry. Source: Alexandria via LeMat-Bulk, functional PBE-GGA.

POSCAR file:
```
PmSm5DySc2
1.0
2.836 -10.885 0.000
2.836 10.885 0.000
0.000 0.000 9.459
Pm Sm Dy Sc
2 10 2 4
direct
0.183 0.817 0.500 Pm
0.817 0.183 0.000 Pm
0.010 0.990 0.492 Sm
0.267 0.733 0.809 Sm
0.305 0.695 0.197 Sm
0.392 0.608 0.526 Sm
0.467 0.533 0.228 Sm
0.533 0.467 0.728 Sm
0.608 0.392 0.026 Sm
0.695 0.305 0.697 Sm
0.733 0.267 0.309 Sm
0.990 0.010 0.992 Sm
0.402 0.598 0.899 Dy
0.598 0.402 0.399 Dy
0.114 0.886 0.810 Sc
0.133 0.867 0.186 Sc
0.867 0.133 0.686 Sc
0.886 0.114 0.310 Sc
```

crystal system = orthorhombic
space group = Cmc2_1
volume = 32.444 Å³ per atom

Crystalline PmSmDy3Sc at its relaxed geometry. Source: Alexandria via LeMat-Bulk, functional PBE-GGA.

POSCAR file:
```
PmSmDy3Sc
1.0
2.495 -7.485 0.000
2.495 7.485 0.000
0.000 0.000 9.988
Pm Sm Dy Sc
2 2 6 2
direct
0.002 0.998 0.750 Pm
0.998 0.002 0.250 Pm
0.500 0.500 0.000 Sm
0.500 0.500 0.500 Sm
0.169 0.831 0.000 Dy
0.169 0.831 0.500 Dy
0.330 0.670 0.750 Dy
0.670 0.330 0.250 Dy
0.831 0.169 0.000 Dy
0.831 0.169 0.500 Dy
0.332 0.668 0.250 Sc
0.668 0.332 0.750 Sc
```

crystal system = orthorhombic
space group = Cmcm
volume = 31.083 Å³ per atom

Crystalline PmSmDy5Sc2 at its relaxed geometry. Source: Alexandria via LeMat-Bulk, functional PBE-GGA.

POSCAR file:
```
PmSmDy5Sc2
1.0
2.804 -10.738 0.000
2.804 10.738 0.000
0.000 0.000 9.362
Pm Sm Dy Sc
2 2 10 4
direct
0.187 0.813 0.500 Pm
0.813 0.187 0.000 Pm
0.403 0.597 0.104 Sm
0.597 0.403 0.604 Sm
0.008 0.992 0.501 Dy
0.266 0.734 0.186 Dy
0.307 0.693 0.800 Dy
0.391 0.609 0.476 Dy
0.468 0.532 0.772 Dy
0.532 0.468 0.272 Dy
0.609 0.391 0.976 Dy
0.693 0.307 0.300 Dy
0.734 0.266 0.686 Dy
0.992 0.008 0.001 Dy
0.113 0.887 0.194 Sc
0.140 0.860 0.823 Sc
0.860 0.140 0.323 Sc
0.887 0.113 0.694 Sc
```

crystal system = orthorhombic
space group = Cmc2_1
volume = 31.317 Å³ per atom

Crystalline Pm2Sm6Dy3Sc at its relaxed geometry. Source: Alexandria via LeMat-Bulk, functional PBE-GGA.

POSCAR file:
```
Pm2Sm6Dy3Sc
1.0
3.103 -5.373 0.000
3.103 5.373 0.000
-2.069 0.000 11.670
Pm Sm Dy Sc
2 6 3 1
direct
0.167 0.833 0.000 Pm
0.833 0.167 0.000 Pm
0.087 0.417 0.750 Sm
0.253 0.253 0.250 Sm
0.417 0.087 0.750 Sm
0.583 0.913 0.250 Sm
0.747 0.747 0.750 Sm
0.913 0.583 0.250 Sm
0.000 0.000 0.500 Dy
0.334 0.666 0.500 Dy
0.666 0.334 0.500 Dy
0.500 0.500 0.000 Sc
```

crystal system = monoclinic
space group = C2/m
volume = 32.428 Å³ per atom

Crystalline Pm3Sm6Dy2Sc at its relaxed geometry. Source: Alexandria via LeMat-Bulk, functional PBE-GGA.

POSCAR file:
```
Pm3Sm6Dy2Sc
1.0
3.114 -5.393 0.000
3.114 5.393 0.000
-2.074 0.000 11.689
Pm Sm Dy Sc
3 6 2 1
direct
0.000 0.000 0.000 Pm
0.333 0.667 0.000 Pm
0.667 0.333 0.000 Pm
0.088 0.419 0.256 Sm
0.251 0.251 0.745 Sm
0.419 0.088 0.256 Sm
0.581 0.912 0.744 Sm
0.749 0.749 0.255 Sm
0.912 0.581 0.744 Sm
0.167 0.833 0.500 Dy
0.833 0.167 0.500 Dy
0.500 0.500 0.500 Sc
```

crystal system = monoclinic
space group = C2/m
volume = 32.716 Å³ per atom

Crystalline PmSm3DySc at its relaxed geometry. Source: Alexandria via LeMat-Bulk, functional PBE-GGA.

POSCAR file:
```
PmSm3DySc
1.0
2.502 -7.550 0.000
2.502 7.550 0.000
0.000 0.000 10.098
Pm Sm Dy Sc
2 6 2 2
direct
0.004 0.996 0.750 Pm
0.996 0.004 0.250 Pm
0.167 0.833 0.501 Sm
0.167 0.833 0.999 Sm
0.331 0.669 0.750 Sm
0.669 0.331 0.250 Sm
0.833 0.167 0.001 Sm
0.833 0.167 0.499 Sm
0.500 0.500 0.000 Dy
0.500 0.500 0.500 Dy
0.333 0.667 0.250 Sc
0.667 0.333 0.750 Sc
```

crystal system = orthorhombic
space group = Cmcm
volume = 31.790 Å³ per atom

Crystalline Pm2SmDySc5 at its relaxed geometry. Source: Alexandria via LeMat-Bulk, functional PBE-GGA.

POSCAR file:
```
Pm2SmDySc5
1.0
-4.154 4.154 7.315
4.154 -4.154 7.315
4.154 4.154 -7.315
Pm Sm Dy Sc
4 2 2 10
direct
0.121 0.621 0.741 Pm
0.379 0.121 0.500 Pm
0.621 0.879 0.500 Pm
0.879 0.379 0.259 Pm
0.250 0.750 0.500 Sm
0.750 0.250 0.500 Sm
0.250 0.250 0.000 Dy
0.750 0.750 0.000 Dy
0.000 0.000 0.000 Sc
0.072 0.153 0.500 Sc
0.153 0.653 0.081 Sc
0.347 0.428 0.500 Sc
0.428 0.928 0.081 Sc
0.500 0.500 0.000 Sc
0.572 0.072 0.919 Sc
0.653 0.572 0.500 Sc
0.847 0.347 0.919 Sc
0.928 0.847 0.500 Sc
```

crystal system = tetragonal
space group = I4/mcm
volume = 28.045 Å³ per atom

Crystalline Pm5Sm2DySc at its relaxed geometry. Source: Alexandria via LeMat-Bulk, functional PBE-GGA.

POSCAR file:
```
Pm5Sm2DySc
1.0
2.696 -10.996 0.000
2.696 10.996 0.000
0.000 0.000 10.191
Pm Sm Dy Sc
10 4 2 2
direct
0.000 0.000 0.000 Pm
0.000 0.000 0.500 Pm
0.127 0.873 0.750 Pm
0.222 0.778 0.062 Pm
0.222 0.778 0.438 Pm
0.499 0.501 0.250 Pm
0.501 0.499 0.750 Pm
0.778 0.222 0.562 Pm
0.778 0.222 0.938 Pm
0.873 0.127 0.250 Pm
0.384 0.616 0.001 Sm
0.384 0.616 0.499 Sm
0.616 0.384 0.501 Sm
0.616 0.384 0.999 Sm
0.102 0.898 0.250 Dy
0.898 0.102 0.750 Dy
0.287 0.713 0.750 Sc
0.713 0.287 0.250 Sc
```

crystal system = orthorhombic
space group = Cmcm
volume = 33.573 Å³ per atom

Crystalline PmSm2DySc at its relaxed geometry. Source: Alexandria via LeMat-Bulk, functional PBE-GGA.

POSCAR file:
```
PmSm2DySc
1.0
3.217 -7.963 0.000
3.217 7.963 0.000
0.000 0.000 6.437
Pm Sm Dy Sc
2 4 2 2
direct
0.163 0.837 0.750 Pm
0.837 0.163 0.250 Pm
0.252 0.252 0.000 Sm
0.252 0.252 0.500 Sm
0.748 0.748 0.000 Sm
0.748 0.748 0.500 Sm
0.251 0.749 0.250 Dy
0.749 0.251 0.750 Dy
0.346 0.654 0.750 Sc
0.654 0.346 0.250 Sc
```

crystal system = orthorhombic
space group = Cmcm
volume = 32.985 Å³ per atom

Crystalline PmDyScSn at its relaxed geometry. Source: Alexandria via LeMat-Bulk, functional PBE-GGA.

POSCAR file:
```
PmDyScSn
1.0
0.000 3.759 3.759
3.759 0.000 3.759
3.759 3.759 0.000
Pm Dy Sc Sn
1 1 1 1
direct
0.000 0.000 0.000 Pm
0.250 0.250 0.250 Dy
0.750 0.750 0.750 Sc
0.500 0.500 0.500 Sn
```

crystal system = cubic
space group = F-43m
volume = 26.556 Å³ per atom

Crystalline TbPm2DySc at its relaxed geometry. Source: Alexandria via LeMat-Bulk, functional PBE-GGA.

POSCAR file:
```
TbPm2DySc
1.0
4.110 -5.683 0.000
4.110 5.683 0.000
0.000 0.000 7.147
Tb Pm Dy Sc
2 4 2 2
direct
0.231 0.769 0.750 Tb
0.769 0.231 0.250 Tb
0.199 0.199 0.000 Pm
0.199 0.199 0.500 Pm
0.801 0.801 0.000 Pm
0.801 0.801 0.500 Pm
0.237 0.763 0.250 Dy
0.763 0.237 0.750 Dy
0.495 0.505 0.750 Sc
0.505 0.495 0.250 Sc
```

crystal system = orthorhombic
space group = Cmcm
volume = 33.387 Å³ per atom

Crystalline TbPm2Dy6Sc3 at its relaxed geometry. Source: Alexandria via LeMat-Bulk, functional PBE-GGA.

POSCAR file:
```
TbPm2Dy6Sc3
1.0
3.036 -5.257 0.000
3.036 5.257 0.000
-2.021 0.000 11.332
Tb Pm Dy Sc
1 2 6 3
direct
0.000 0.000 0.000 Tb
0.333 0.667 0.000 Pm
0.667 0.333 0.000 Pm
0.087 0.420 0.261 Dy
0.246 0.246 0.739 Dy
0.420 0.087 0.261 Dy
0.580 0.913 0.739 Dy
0.754 0.754 0.261 Dy
0.913 0.580 0.739 Dy
0.167 0.833 0.500 Sc
0.500 0.500 0.500 Sc
0.833 0.167 0.500 Sc
```

crystal system = monoclinic
space group = C2/m
volume = 30.147 Å³ per atom

Crystalline TbPm6Dy3Sc2 at its relaxed geometry. Source: Alexandria via LeMat-Bulk, functional PBE-GGA.

POSCAR file:
```
TbPm6Dy3Sc2
1.0
3.089 -5.347 0.000
3.089 5.347 0.000
-2.053 0.000 11.462
Tb Pm Dy Sc
1 6 3 2
direct
0.000 0.000 0.000 Tb
0.082 0.419 0.245 Pm
0.254 0.254 0.755 Pm
0.419 0.082 0.245 Pm
0.581 0.918 0.755 Pm
0.746 0.746 0.245 Pm
0.918 0.581 0.755 Pm
0.167 0.833 0.500 Dy
0.500 0.500 0.500 Dy
0.833 0.167 0.500 Dy
0.333 0.667 0.000 Sc
0.667 0.333 0.000 Sc
```

crystal system = monoclinic
space group = C2/m
volume = 31.550 Å³ per atom

Crystalline TbPm4Dy2Sc at its relaxed geometry. Source: Alexandria via LeMat-Bulk, functional PBE-GGA.

POSCAR file:
```
TbPm4Dy2Sc
1.0
5.068 0.000 0.000
0.000 5.068 0.000
0.000 0.000 9.955
Tb Pm Dy Sc
1 4 2 1
direct
0.000 0.000 0.000 Tb
0.000 0.500 0.255 Pm
0.000 0.500 0.745 Pm
0.500 0.000 0.255 Pm
0.500 0.000 0.745 Pm
0.000 0.000 0.500 Dy
0.500 0.500 0.000 Dy
0.500 0.500 0.500 Sc
```

crystal system = tetragonal
space group = P4/mmm
volume = 31.967 Å³ per atom

Crystalline Tb2PmDySc4 at its relaxed geometry. Source: Alexandria via LeMat-Bulk, functional PBE-GGA.

POSCAR file:
```
Tb2PmDySc4
1.0
5.949 0.000 0.000
0.000 3.440 0.000
-1.990 0.000 10.987
Tb Pm Dy Sc
2 1 1 4
direct
0.000 0.000 0.000 Tb
0.000 0.500 0.500 Tb
0.500 0.000 0.500 Pm
0.500 0.500 0.000 Dy
0.249 0.500 0.249 Sc
0.250 0.000 0.751 Sc
0.750 0.000 0.249 Sc
0.751 0.500 0.751 Sc
```

crystal system = monoclinic
space group = P2/m
volume = 28.105 Å³ per atom

Crystalline Tb2PmDySc2 at its relaxed geometry. Source: Alexandria via LeMat-Bulk, functional PBE-GGA.

POSCAR file:
```
Tb2PmDySc2
1.0
6.289 0.000 0.000
0.000 17.483 0.000
0.000 0.000 3.346
Tb Pm Dy Sc
4 2 2 4
direct
0.221 0.192 0.000 Tb
0.279 0.692 0.500 Tb
0.721 0.308 0.500 Tb
0.779 0.808 0.000 Tb
0.000 0.000 0.000 Pm
0.500 0.500 0.500 Pm
0.000 0.500 0.000 Dy
0.500 0.000 0.500 Dy
0.218 0.355 0.500 Sc
0.282 0.855 0.000 Sc
0.718 0.145 0.000 Sc
0.782 0.645 0.500 Sc
```

crystal system = orthorhombic
space group = Pnnm
volume = 30.656 Å³ per atom

Crystalline Tb2Pm4DySc at its relaxed geometry. Source: Alexandria via LeMat-Bulk, functional PBE-GGA.

POSCAR file:
```
Tb2Pm4DySc
1.0
5.064 0.000 0.000
0.000 5.077 0.000
0.000 0.000 9.966
Tb Pm Dy Sc
2 4 1 1
direct
0.000 0.000 0.000 Tb
0.500 0.500 0.500 Tb
0.000 0.500 0.245 Pm
0.000 0.500 0.755 Pm
0.500 0.000 0.245 Pm
0.500 0.000 0.755 Pm
0.000 0.000 0.500 Dy
0.500 0.500 0.000 Sc
```

crystal system = orthorhombic
space group = Pmmm
volume = 32.027 Å³ per atom

Number 1: energy of formation 3 kJ/mol of atoms, magnetization 0.00 μB/f.u.. Number 2: energy of formation 3 kJ/mol of atoms, magnetization 0.00 μB/f.u.. Number 3: energy of formation 27 kJ/mol of atoms, magnetization 0.00 μB/f.u.. Number 4: energy of formation 2 kJ/mol of atoms, magnetization 0.00 μB/f.u.. Number 5: energy of formation 16 kJ/mol of atoms, magnetization 0.00 μB/f.u.. Number 6: energy of formation 4 kJ/mol of atoms, magnetization 0.00 μB/f.u.. Number 7: energy of formation 16 kJ/mol of atoms, magnetization 0.00 μB/f.u.. Number 8: energy of formation 2 kJ/mol of atoms, magnetization 0.00 μB/f.u.. Number 9: energy of formation 3 kJ/mol of atoms, magnetization 0.00 μB/f.u.. Number 10: energy of formation 4 kJ/mol of atoms, magnetization 0.00 μB/f.u.. Number 11: energy of formation 26 kJ/mol of atoms, magnetization 0.00 μB/f.u.. Number 12: energy of formation 12 kJ/mol of atoms, magnetization 0.00 μB/f.u.. Number 13: energy of formation 35 kJ/mol of atoms, magnetization 0.00 μB/f.u.. Number 14: energy of formation -21 kJ/mol of atoms, magnetization 1.08 μB/f.u.. Number 15: energy of formation 35 kJ/mol of atoms, magnetization 0.00 μB/f.u.. Number 16: energy of formation 4 kJ/mol of atoms, magnetization 0.00 μB/f.u.. Number 17: energy of formation 3 kJ/mol of atoms, magnetization 0.00 μB/f.u.. Number 18: energy of formation 3 kJ/mol of atoms, magnetization 0.00 μB/f.u.. Number 19: energy of formation 6 kJ/mol of atoms, magnetization 0.00 μB/f.u.. Number 20: energy of formation 27 kJ/mol of atoms, magnetization 0.00 μB/f.u.. Number 21: energy of formation 3 kJ/mol of atoms, magnetization 0.00 μB/f.u..